Entry 1:
NaI3F: optimized geometry, PBE.

Cell and atoms, written as CIF:
```
data_NaI3F
_chemical_formula_sum 'Na1 I3 F1'
_cell_length_a 5.433
_cell_length_b 5.433
_cell_length_c 5.433
_cell_angle_alpha 90.00
_cell_angle_beta 90.00
_cell_angle_gamma 90.00
_symmetry_space_group_name_H-M 'P m -3 m'
_symmetry_Int_Tables_number 221
_symmetry_space_group_name_Hall '-P 4 2 3'
loop_
_atom_site_label
_atom_site_fract_x
_atom_site_fract_y
_atom_site_fract_z
_atom_site_occupancy
Na1 0.000 0.000 0.000 1
I1 0.000 0.500 0.500 1
F1 0.500 0.500 0.500 1
```

M_tot	0.00	μB/atom
energy relative to the elements, uncorrected	-0.362	eV per atom
polymorph energy (0 for the lowest one)	0.00	eV/f.u.


Entry 2:
NaIF3: optimized geometry, PBE.

Cell and atoms, written as CIF:
```
data_NaIF3
_chemical_formula_sum 'Na1 I1 F3'
_cell_length_a 4.813
_cell_length_b 4.813
_cell_length_c 4.813
_cell_angle_alpha 90.00
_cell_angle_beta 90.00
_cell_angle_gamma 90.00
_symmetry_space_group_name_H-M 'P m -3 m'
_symmetry_Int_Tables_number 221
_symmetry_space_group_name_Hall '-P 4 2 3'
loop_
_atom_site_label
_atom_site_fract_x
_atom_site_fract_y
_atom_site_fract_z
_atom_site_occupancy
Na1 0.000 0.000 0.000 1
I1 0.500 0.500 0.500 1
F1 0.000 0.500 0.500 1
```

M_tot	0.00	μB/atom
energy relative to the elements, uncorrected	-1.287	eV per atom
polymorph energy (0 for the lowest one)	0.00	eV/f.u.


Entry 3:
Na3IF4: optimized geometry, PBE.

Cell and atoms, written as CIF:
```
data_Na3IF4
_chemical_formula_sum 'Na6 I2 F8'
_cell_length_a 6.895
_cell_length_b 7.975
_cell_length_c 5.985
_cell_angle_alpha 90.00
_cell_angle_beta 90.00
_cell_angle_gamma 90.00
_symmetry_space_group_name_H-M 'P m n 21'
_symmetry_Int_Tables_number 31
loop_
_symmetry_equiv_pos_as_xyz
'x,y,z'
'-x+1/2,-y,z+1/2'
'-x,y,z'
'x+1/2,-y,z+1/2'
loop_
_atom_site_label
_atom_site_fract_x
_atom_site_fract_y
_atom_site_fract_z
_atom_site_occupancy
Na1 0.000 0.239 0.000 1
Na2 0.238 0.420 0.544 1
I1 0.000 0.877 0.250 1
F1 0.000 0.423 0.279 1
F2 0.000 0.492 0.806 1
F3 0.197 0.142 0.735 1
```

M_tot	0.00	μB/atom
energy relative to the elements, uncorrected	-2.143	eV per atom


Entry 4:
Na2IF6: optimized geometry, PBE.

Cell and atoms, written as CIF:
```
data_Na2IF6
_chemical_formula_sum 'Na4 I2 F12'
_cell_length_a 6.647
_cell_length_b 5.743
_cell_length_c 8.609
_cell_angle_alpha 90.00
_cell_angle_beta 114.14
_cell_angle_gamma 90.00
_symmetry_space_group_name_H-M 'P 1 21/c 1'
_symmetry_Int_Tables_number 14
loop_
_symmetry_equiv_pos_as_xyz
'x,y,z'
'-x,-y,-z'
'-x,y+1/2,-z+1/2'
'x,-y+1/2,z+1/2'
loop_
_atom_site_label
_atom_site_fract_x
_atom_site_fract_y
_atom_site_fract_z
_atom_site_occupancy
Na1 0.113 0.101 0.205 1
I1 0.500 0.000 0.000 1
F1 0.142 0.171 0.939 1
F2 0.265 0.748 0.887 1
F3 0.430 0.180 0.783 1
```

M_tot	0.11	μB/atom
energy relative to the elements, uncorrected	-1.971	eV per atom


Entry 5:
Na4I2F: optimized geometry, PBE.

Cell and atoms, written as CIF:
```
data_Na4I2F
_chemical_formula_sum 'Na8 I4 F2'
_cell_length_a 4.970
_cell_length_b 4.970
_cell_length_c 16.608
_cell_angle_alpha 90.00
_cell_angle_beta 90.00
_cell_angle_gamma 90.00
_symmetry_space_group_name_H-M 'I 4/m m m'
_symmetry_Int_Tables_number 139
_symmetry_space_group_name_Hall '-I 4 2'
loop_
_atom_site_label
_atom_site_fract_x
_atom_site_fract_y
_atom_site_fract_z
_atom_site_occupancy
Na1 0.000 0.000 0.155 1
Na2 0.000 0.500 0.000 1
I1 0.000 0.000 0.360 1
F1 0.000 0.000 0.000 1
```

M_tot	0.00	μB/atom
energy relative to the elements, uncorrected	-1.324	eV per atom
polymorph energy (0 for the lowest one)	0.22	eV/f.u.


Entry 6:
Na2I2F: optimized geometry, PBE.

Cell and atoms, written as CIF:
```
data_Na2I2F
_chemical_formula_sum 'Na4 I4 F2'
_cell_length_a 4.843
_cell_length_b 4.843
_cell_length_c 15.701
_cell_angle_alpha 90.00
_cell_angle_beta 90.00
_cell_angle_gamma 90.00
_symmetry_space_group_name_H-M 'I 4/m m m'
_symmetry_Int_Tables_number 139
_symmetry_space_group_name_Hall '-I 4 2'
loop_
_atom_site_label
_atom_site_fract_x
_atom_site_fract_y
_atom_site_fract_z
_atom_site_occupancy
Na1 0.000 0.000 0.113 1
I1 0.000 0.500 0.250 1
F1 0.000 0.000 0.500 1
```

M_tot	0.00	μB/atom
energy relative to the elements, uncorrected	-0.885	eV per atom


Entry 7:
NaIF3: optimized geometry, PBE.

Cell and atoms, written as CIF:
```
data_NaIF3
_chemical_formula_sum 'Na1 I1 F3'
_cell_length_a 4.258
_cell_length_b 4.258
_cell_length_c 4.258
_cell_angle_alpha 90.00
_cell_angle_beta 90.00
_cell_angle_gamma 90.00
_symmetry_space_group_name_H-M 'P m -3 m'
_symmetry_Int_Tables_number 221
_symmetry_space_group_name_Hall '-P 4 2 3'
loop_
_atom_site_label
_atom_site_fract_x
_atom_site_fract_y
_atom_site_fract_z
_atom_site_occupancy
Na1 0.000 0.000 0.000 1
I1 0.500 0.500 0.500 1
F1 0.000 0.000 0.500 1
```

M_tot	0.55	μB/atom
energy relative to the elements, uncorrected	-1.171	eV per atom
polymorph energy (0 for the lowest one)	0.58	eV/f.u.


Entry 8:
Na4I2F: optimized geometry, PBE.

Cell and atoms, written as CIF:
```
data_Na4I2F
_chemical_formula_sum 'Na8 I4 F2'
_cell_length_a 4.496
_cell_length_b 4.496
_cell_length_c 21.702
_cell_angle_alpha 90.00
_cell_angle_beta 90.00
_cell_angle_gamma 90.00
_symmetry_space_group_name_H-M 'I 4/m m m'
_symmetry_Int_Tables_number 139
_symmetry_space_group_name_Hall '-I 4 2'
loop_
_atom_site_label
_atom_site_fract_x
_atom_site_fract_y
_atom_site_fract_z
_atom_site_occupancy
Na1 0.000 0.000 0.180 1
Na2 0.000 0.500 0.000 1
I1 0.000 0.000 0.391 1
F1 0.000 0.000 0.000 1
```

M_tot	0.00	μB/atom
energy relative to the elements, uncorrected	-1.355	eV per atom
polymorph energy (0 for the lowest one)	0.00	eV/f.u.


Entry 9:
NaIF: optimized geometry, PBE.

Cell and atoms, written as CIF:
```
data_NaIF
_chemical_formula_sum 'Na1 I1 F1'
_cell_length_a 3.6040
_cell_length_b 3.6040
_cell_length_c 7.2368
_cell_angle_alpha 90.00
_cell_angle_beta 90.00
_cell_angle_gamma 120.00
_symmetry_space_group_name_H-M 'P 3 m 1'
_symmetry_Int_Tables_number 156
loop_
_symmetry_equiv_pos_as_xyz
'x,y,z'
'-y,x-y,z'
'-x+y,-x,z'
'-y,-x,z'
'-x+y,y,z'
'x,x-y,z'
loop_
_atom_site_label
_atom_site_fract_x
_atom_site_fract_y
_atom_site_fract_z
_atom_site_occupancy
Na1 0.0000 0.0000 0.0000 1
I1 0.3333 0.6667 0.4983 1
F1 0.6667 0.3333 0.0010 1
```

M_tot	0.03	μB/atom
energy relative to the elements, uncorrected	-1.522	eV per atom


Entry 10:
Na3I2F: optimized geometry, PBE.

Cell and atoms, written as CIF:
```
data_Na3I2F
_chemical_formula_sum 'Na6 I4 F2'
_cell_length_a 4.075
_cell_length_b 6.192
_cell_length_c 13.098
_cell_angle_alpha 90.00
_cell_angle_beta 90.00
_cell_angle_gamma 90.00
_symmetry_space_group_name_H-M 'I m m m'
_symmetry_Int_Tables_number 71
_symmetry_space_group_name_Hall '-I 2 2'
loop_
_atom_site_label
_atom_site_fract_x
_atom_site_fract_y
_atom_site_fract_z
_atom_site_occupancy
Na1 0.000 0.000 0.000 1
Na2 0.000 0.000 0.379 1
I1 0.000 0.500 0.328 1
F1 0.000 0.500 0.000 1
```

M_tot	0.00	μB/atom
energy relative to the elements, uncorrected	-1.599	eV per atom


Entry 11:
NaIF6: optimized geometry, PBE.

Cell and atoms, written as CIF:
```
data_NaIF6
_chemical_formula_sum 'Na2 I2 F12'
_cell_length_a 5.623
_cell_length_b 8.759
_cell_length_c 5.481
_cell_angle_alpha 90.00
_cell_angle_beta 100.98
_cell_angle_gamma 90.00
_symmetry_space_group_name_H-M 'C 1 2/m 1'
_symmetry_Int_Tables_number 12
loop_
_symmetry_equiv_pos_as_xyz
'x,y,z'
'-x,-y,-z'
'-x,y,-z'
'x,-y,z'
'x+1/2,y+1/2,z'
'-x+1/2,-y+1/2,-z'
'-x+1/2,y+1/2,-z'
'x+1/2,-y+1/2,z'
loop_
_atom_site_label
_atom_site_fract_x
_atom_site_fract_y
_atom_site_fract_z
_atom_site_occupancy
Na1 0.000 0.000 0.000 1
I1 0.000 0.500 0.500 1
F1 0.197 0.346 0.727 1
F2 0.249 0.000 0.716 1
```

M_tot	0.00	μB/atom
energy relative to the elements, uncorrected	-1.898	eV per atom
polymorph energy (0 for the lowest one)	0.22	eV/f.u.


Entry 12:
Na3NbI2F6: optimized geometry, PBE.

Cell and atoms, written as CIF:
```
data_Na3NbI2F6
_chemical_formula_sum 'Na6 Nb2 I4 F12'
_cell_length_a 15.718
_cell_length_b 7.074
_cell_length_c 5.193
_cell_angle_alpha 90.00
_cell_angle_beta 90.95
_cell_angle_gamma 90.00
_symmetry_space_group_name_H-M 'C 1 2/m 1'
_symmetry_Int_Tables_number 12
loop_
_symmetry_equiv_pos_as_xyz
'x,y,z'
'-x,-y,-z'
'-x,y,-z'
'x,-y,z'
'x+1/2,y+1/2,z'
'-x+1/2,-y+1/2,-z'
'-x+1/2,y+1/2,-z'
'x+1/2,-y+1/2,z'
loop_
_atom_site_label
_atom_site_fract_x
_atom_site_fract_y
_atom_site_fract_z
_atom_site_occupancy
Na1 0.000 0.000 0.000 1
Na2 0.250 0.250 0.500 1
Nb1 0.000 0.500 0.500 1
I1 0.190 0.000 0.020 1
F1 0.008 0.300 0.752 1
F2 0.125 0.500 0.476 1
```

M_tot	0.00	μB/atom
energy relative to the elements, uncorrected	-2.398	eV per atom